This record from the Alexandria database describes SrMg3Nb after structural relaxation. The functional is PBE-GGA.

Unit cell a=5.3662 b=5.3662 c=5.3662 alpha=90.00 beta=90.00 gamma=90.00
Last column: nearest neighbours and their distance in Å.
Element x y z (fractional)
Sr: 0.0000 0.0000 0.0000  6 Mg 2.68
Mg: 0.0000 0.0000 0.5000  2 Sr 2.68
Mg: 0.0000 0.5000 0.0000  2 Sr 2.68
Mg: 0.5000 0.0000 0.0000  2 Sr 2.68
Nb: 0.5000 0.5000 0.5000  12 Mg 3.79

Formation energy from the elements   1864 meV/atom
Excess energy over the best structure of this formula in the dataset   6.159 eV/f.u.